A geometry-optimized Re7Au structure, computed with PBE.

abc: 5.556 5.556 5.556
angles: 60.00 60.00 60.00
Element x y z (fractional)
Re1 0.500 0.000 0.000
Re2 0.000 0.000 0.500
Re3 0.000 0.500 0.500
Re4 0.500 0.500 0.000
Au1 0.000 0.000 0.000
Re5 0.000 0.500 0.000
Re6 0.500 0.500 0.500
Re7 0.500 0.000 0.500

The energy of formation is 0.24 eV per atom. Its space group is Fm-3m.

---

A geometry-optimized ReAu5 structure, computed with PBE.

abc: 5.717 5.717 6.967
angles: 74.79 74.79 28.53
Last column: magnetic moment on the atom in μB.
Element x y z (fractional)
Au1 0.673 0.673 0.676  0.01
Au2 0.334 0.334 0.329  0.01
Au3 0.943 0.943 0.615  0.01
Re1 0.276 0.276 0.949  0.30
Au4 0.993 0.993 0.994  0.01
Au5 0.614 0.614 0.270  0.01

The energy of formation is 0.33 eV per atom. Its space group is Cm. As for the energy above the most stable polymorph in this dataset: 0 meV/atom.

---

A geometry-optimized ReAu2 structure, computed with PBE.

abc: 2.847 2.847 7.132
angles: 90.00 90.00 120.00
Element x y z (fractional)
Au1 0.000 0.000 0.008
Au2 0.333 0.667 0.658
Re1 0.667 0.333 0.333

The energy of formation is 0.39 eV per atom. Its space group is P-3m1. As for the energy above the most stable polymorph in this dataset: 58 meV/atom.

---

A geometry-optimized ReAu2 structure, computed with PBE.

abc: 5.067 5.067 5.067
angles: 148.61 131.08 59.29
Last column: magnetic moment on the atom in μB.
Element x y z (fractional)
Au1 0.671 0.671 0.000  0.07
Au2 0.996 0.996 0.000  0.07
Re1 0.333 0.333 0.000  0.77

The energy of formation is 0.68 eV per atom. Its space group is Immm. As for the energy above the most stable polymorph in this dataset: 347 meV/atom.

---

A geometry-optimized ReAu2 structure, computed with PBE.

abc: 5.194 5.194 9.334
angles: 90.00 90.00 120.00
Element x y z (fractional)
Au1 0.169 0.338 0.750
Re1 0.667 0.333 0.986
Re2 0.333 0.667 0.486
Re3 0.667 0.333 0.514
Re4 0.333 0.667 0.014
Au2 0.000 0.000 0.000
Au3 0.169 0.831 0.750
Au4 0.000 0.000 0.500
Au5 0.662 0.831 0.750
Au6 0.338 0.169 0.250
Au7 0.831 0.169 0.250
Au8 0.831 0.662 0.250

The energy of formation is 1.05 eV per atom. Its space group is P6_3/mmc. As for the energy above the most stable polymorph in this dataset: 717 meV/atom.

---

A geometry-optimized Re5Au structure, computed with PBE.

abc: 5.155 5.155 5.155
angles: 60.00 60.00 60.00
Element x y z (fractional)
Au1 0.000 0.000 0.000
Re1 0.750 0.750 0.750
Re2 0.877 0.374 0.374
Re3 0.374 0.877 0.374
Re4 0.374 0.374 0.374
Re5 0.374 0.374 0.877

The energy of formation is 0.56 eV per atom. Its space group is F-43m. As for the energy above the most stable polymorph in this dataset: 397 meV/atom.

---

A geometry-optimized ReRhAu structure, computed with PBE.

abc: 2.794 2.794 6.957
angles: 90.00 90.00 120.00
Element x y z (fractional)
Rh1 0.333 0.667 0.648
Au1 0.000 0.000 0.000
Re1 0.667 0.333 0.351

The energy of formation is 0.14 eV per atom. Its space group is P3m1. As for the energy above the most stable polymorph in this dataset: 17 meV/atom.

---

A geometry-optimized ReRhAu2 structure, computed with PBE.

abc: 5.632 5.632 5.632
angles: 151.22 129.60 59.08
Last column: magnetic moment on the atom in μB.
Element x y z (fractional)
Re1 0.000 0.500 0.500  0.64
Rh1 0.500 0.000 0.500  0.08
Au1 0.247 0.247 0.000  0.03
Au2 0.753 0.753 0.000  0.03

The energy of formation is 0.50 eV per atom. Its space group is Immm. As for the energy above the most stable polymorph in this dataset: 391 meV/atom.

---

A geometry-optimized ReRh2Au structure, computed with PBE.

abc: 4.724 4.724 2.774
angles: 90.00 90.00 90.00
Last column: magnetic moment on the atom in μB.
Element x y z (fractional)
Rh1 0.500 0.000 0.000  0.02
Rh2 0.000 0.500 0.000  0.02
Re1 0.000 0.000 0.500  0.35
Au1 0.500 0.500 0.500  0.01

The energy of formation is 0.37 eV per atom. Its space group is P4/mmm. As for the energy above the most stable polymorph in this dataset: 431 meV/atom.

---

A geometry-optimized Re2RhAu structure, computed with PBE.

abc: 4.833 4.833 4.918
angles: 81.13 81.13 32.81
Element x y z (fractional)
Re1 0.004 0.004 0.981
Re2 0.756 0.756 0.755
Rh1 0.491 0.491 0.509
Au1 0.250 0.250 0.255

The energy of formation is 0.24 eV per atom. Its space group is Cm. As for the energy above the most stable polymorph in this dataset: 118 meV/atom.

---

A geometry-optimized ReRhAu2 structure, computed with PBE.

abc: 4.828 4.828 5.035
angles: 81.44 81.44 33.73
Element x y z (fractional)
Au1 0.002 0.002 0.005
Rh1 0.757 0.757 0.719
Au2 0.246 0.246 0.249
Re1 0.495 0.495 0.527

The energy of formation is 0.29 eV per atom. Its space group is Cm. As for the energy above the most stable polymorph in this dataset: 178 meV/atom.

---

A geometry-optimized ReRhAu2 structure, computed with PBE.

abc: 2.809 3.929 5.874
angles: 90.00 90.00 90.00
Element x y z (fractional)
Au1 0.000 0.000 0.995
Re1 0.000 0.000 0.527
Au2 0.500 0.500 0.258
Rh1 0.500 0.500 0.720

The energy of formation is 0.23 eV per atom. Its space group is Pmm2. As for the energy above the most stable polymorph in this dataset: 120 meV/atom.

---

A geometry-optimized ReRh2Au structure, computed with PBE.

abc: 4.778 4.778 4.778
angles: 131.34 131.34 71.28
Element x y z (fractional)
Rh1 0.250 0.750 0.500
Rh2 0.750 0.250 0.500
Re1 0.500 0.500 0.000
Au1 0.000 0.000 0.000

The energy of formation is 0.16 eV per atom. Its space group is I4/mmm. As for the energy above the most stable polymorph in this dataset: 217 meV/atom.

---

A geometry-optimized ReRh2Au structure, computed with PBE.

abc: 4.826 4.826 4.782
angles: 80.12 80.12 33.63
Element x y z (fractional)
Re1 0.745 0.745 0.774
Rh1 0.253 0.253 0.249
Au1 0.499 0.499 0.494
Rh2 0.003 0.003 0.983

The energy of formation is 0.17 eV per atom. Its space group is Cm. As for the energy above the most stable polymorph in this dataset: 236 meV/atom.

---

A geometry-optimized Re2RhAu structure, computed with PBE.

abc: 2.724 2.724 9.491
angles: 90.00 90.00 116.37
Element x y z (fractional)
Re1 0.000 0.000 0.984
Rh1 0.000 0.000 0.513
Re2 0.500 0.500 0.750
Au1 0.500 0.500 0.252

The energy of formation is 0.32 eV per atom. Its space group is Cmm2. As for the energy above the most stable polymorph in this dataset: 195 meV/atom.

---

A geometry-optimized ReRhAu2 structure, computed with PBE.

abc: 4.906 4.906 4.906
angles: 132.06 132.06 70.14
Element x y z (fractional)
Rh1 0.750 0.250 0.500
Au1 0.250 0.750 0.500
Au2 0.000 0.000 0.000
Re1 0.500 0.500 0.000

The energy of formation is 0.42 eV per atom. Its space group is I-4m2. As for the energy above the most stable polymorph in this dataset: 313 meV/atom.

---

A geometry-optimized ReRh2Au structure, computed with PBE.

abc: 2.774 3.981 5.506
angles: 90.00 90.00 90.00
Element x y z (fractional)
Au1 0.000 0.000 0.497
Rh1 0.500 0.500 0.244
Rh2 0.000 0.000 0.985
Re1 0.500 0.500 0.775

The energy of formation is 0.16 eV per atom. Its space group is Pmm2. As for the energy above the most stable polymorph in this dataset: 220 meV/atom.

---

A geometry-optimized Re2RhAu structure, computed with PBE.

abc: 2.774 4.472 4.930
angles: 90.00 90.00 90.00
Element x y z (fractional)
Re1 0.000 0.500 0.722
Rh1 0.500 0.000 0.539
Au1 0.500 0.500 0.223
Re2 0.000 0.000 0.016

The energy of formation is 0.24 eV per atom. Its space group is Pmm2. As for the energy above the most stable polymorph in this dataset: 119 meV/atom.

---

A geometry-optimized ReRh3Au structure, computed with PBE.

abc: 4.776 4.776 4.776
angles: 90.00 90.00 90.00
Last column: magnetic moment on the atom in μB.
Element x y z (fractional)
Au1 0.000 0.000 0.000  -0.15
Rh1 0.500 0.000 0.000  -0.09
Rh2 0.000 0.000 0.500  -0.45
Rh3 0.000 0.500 0.000  -0.17
Re1 0.500 0.500 0.500  2.98

The energy of formation is 2.33 eV per atom. Its space group is Pm-3m. As for the energy above the most stable polymorph in this dataset: 1132 meV/atom.

---

A geometry-optimized ReRh2Au structure, computed with PBE.

abc: 9.308 9.308 9.308
angles: 17.18 17.18 17.18
Last column: magnetic moment on the atom in μB.
Element x y z (fractional)
Rh1 0.998 0.998 0.998  0.04
Au1 0.500 0.500 0.500  -0.01
Rh2 0.747 0.747 0.747  0.52
Re1 0.255 0.255 0.255  -0.08

The energy of formation is 0.15 eV per atom. Its space group is R3m. As for the energy above the most stable polymorph in this dataset: 211 meV/atom.

---

A geometry-optimized ReRhAu2 structure, computed with PBE.

abc: 9.380 9.380 9.380
angles: 17.41 17.41 17.41
Last column: magnetic moment on the atom in μB.
Element x y z (fractional)
Au1 0.750 0.750 0.750  -0.01
Au2 0.250 0.250 0.250  -0.01
Re1 0.500 0.500 0.500  -0.21
Rh1 0.000 0.000 0.000  0.50

The energy of formation is 0.38 eV per atom. Its space group is R-3m. As for the energy above the most stable polymorph in this dataset: 273 meV/atom.

---

A geometry-optimized ReRhAu2 structure, computed with PBE.

abc: 2.829 2.829 7.997
angles: 90.00 90.00 90.00
Element x y z (fractional)
Au1 0.000 0.000 0.249
Au2 0.000 0.000 0.751
Re1 0.500 0.500 0.000
Rh1 0.500 0.500 0.500

The energy of formation is 0.43 eV per atom. Its space group is P4/mmm. As for the energy above the most stable polymorph in this dataset: 321 meV/atom.

---

A geometry-optimized Re2RhAu structure, computed with PBE.

abc: 4.919 4.919 2.743
angles: 90.00 90.00 112.94
Element x y z (fractional)
Re1 0.500 0.000 0.000
Rh1 0.000 0.000 0.500
Au1 0.500 0.500 0.500
Re2 0.000 0.500 0.000

The energy of formation is 0.35 eV per atom. Its space group is Cmmm. As for the energy above the most stable polymorph in this dataset: 231 meV/atom.

---

A geometry-optimized Re2RhAu structure, computed with PBE.

abc: 5.969 5.969 6.560
angles: 62.94 62.94 90.00
Element x y z (fractional)
Re1 0.605 0.125 0.250
Re2 0.875 0.855 0.750
Re3 0.375 0.395 0.750
Re4 0.145 0.625 0.250
Rh1 0.500 0.500 0.000
Rh2 0.250 0.750 0.500
Au1 0.750 0.250 0.500
Au2 0.000 0.000 0.000

The energy of formation is 1.67 eV per atom. Its space group is I-42d. As for the energy above the most stable polymorph in this dataset: 1548 meV/atom.

---

A geometry-optimized ReRhAu structure, computed with PBE.

abc: 6.290 6.290 6.290
angles: 154.24 154.24 36.75
Element x y z (fractional)
Re1 0.323 0.323 0.000
Au1 0.998 0.998 0.000
Rh1 0.680 0.680 0.000

The energy of formation is 0.12 eV per atom. Its space group is I4mm. As for the energy above the most stable polymorph in this dataset: 0 meV/atom.

---

A geometry-optimized ReRh2Au structure, computed with PBE.

abc: 9.253 9.253 9.253
angles: 17.33 17.33 17.33
Element x y z (fractional)
Rh1 0.006 0.006 0.006
Rh2 0.494 0.494 0.494
Au1 0.250 0.250 0.250
Re1 0.750 0.750 0.750

The energy of formation is -0.01 eV per atom. Its space group is R-3m. As for the energy above the most stable polymorph in this dataset: 53 meV/atom.

---

A geometry-optimized ReRh2Au structure, computed with PBE.

abc: 4.786 4.786 2.781
angles: 90.00 90.00 108.26
Element x y z (fractional)
Rh1 0.000 0.500 0.000
Re1 0.000 0.000 0.500
Au1 0.500 0.500 0.500
Rh2 0.500 0.000 0.000

The energy of formation is 0.20 eV per atom. Its space group is Cmmm. As for the energy above the most stable polymorph in this dataset: 258 meV/atom.

---

A geometry-optimized ReRh3Au structure, computed with PBE.

abc: 4.680 4.680 4.680
angles: 90.00 90.00 90.00
Element x y z (fractional)
Rh1 0.000 0.000 0.500
Re1 0.000 0.000 0.000
Rh2 0.500 0.000 0.000
Au1 0.500 0.500 0.500
Rh3 0.000 0.500 0.000

The energy of formation is 1.20 eV per atom. Its space group is Pm-3m. As for the energy above the most stable polymorph in this dataset: 0 meV/atom.

---

A geometry-optimized ReRh2Au structure, computed with PBE.

abc: 2.783 2.783 7.894
angles: 90.00 90.00 90.01
Element x y z (fractional)
Rh1 0.000 0.000 0.979
Rh2 0.000 0.000 0.521
Au1 0.500 0.500 0.250
Re1 0.500 0.500 0.750

The energy of formation is -0.06 eV per atom. Its space group is P4/mmm. As for the energy above the most stable polymorph in this dataset: 0 meV/atom.

---

A geometry-optimized ReRhAu2 structure, computed with PBE.

abc: 4.908 4.908 4.913
angles: 81.01 81.01 33.26
Element x y z (fractional)
Au1 0.253 0.253 0.748
Re1 0.000 0.000 0.500
Rh1 0.500 0.500 0.000
Au2 0.747 0.747 0.252

The energy of formation is 0.37 eV per atom. Its space group is C2/m. As for the energy above the most stable polymorph in this dataset: 266 meV/atom.